Entry 1:
Below is a geometry-optimized ZrScU2P4 structure, with properties calculated at the PBE-GGA level.

```
ZrScU2P4
1.0
6.6270 0.0000 0.0000
0.0000 3.8228 0.0000
-2.2018 0.0000 6.3221
Zr Sc U P
1 1 2 4
direct
0.0000 0.0000 0.0000
0.5000 0.5000 0.0000
0.0000 0.5000 0.5000
0.5000 0.0000 0.5000
0.2472 0.5000 0.2391
0.2546 0.0000 0.7618
0.7454 0.0000 0.2382
0.7528 0.5000 0.7609
```

Volume, Å³/cell: 160.16
ΔE_f, eV per atom: -1.23
Mass density, g cm⁻³: 7.6
Total magnetic moment, μB per atom: 0.515

Entry 2:
Below is a geometry-optimized Dy4MgSc2 structure, with properties calculated at the PBE-GGA level.

```
Dy4MgSc2
1.0
5.4350 0.0000 0.0000
0.0000 6.6452 0.0000
-2.7331 0.0000 11.1086
Dy Mg Sc
8 2 4
direct
0.0617 0.2500 0.1369
0.2106 0.7500 0.4306
0.3571 0.5079 0.7096
0.3571 0.9921 0.7096
0.6429 0.0079 0.2904
0.6429 0.4921 0.2904
0.7894 0.2500 0.5694
0.9383 0.7500 0.8631
0.0821 0.7500 0.1534
0.9179 0.2500 0.8466
0.2162 0.2500 0.4258
0.4853 0.2500 0.9861
0.5147 0.7500 0.0139
0.7838 0.7500 0.5742
```

Volume, Å³/cell: 401.21
ΔE_f, eV per atom: 0.12
Mass density, g cm⁻³: 6.3
Total magnetic moment, μB per atom: 0.001

Entry 3:
Below is a geometry-optimized La2Sm3Er6 structure, with properties calculated at the PBE-GGA level.

```
La2Sm3Er6
1.0
3.0943 -5.2840 0.0000
3.0943 5.2840 0.0000
-1.7707 0.0000 11.5604
La Sm Er
2 3 6
direct
0.1756 0.8244 0.0000
0.8244 0.1756 0.0000
0.0000 0.0000 0.5000
0.3358 0.6642 0.5000
0.6642 0.3358 0.5000
0.0739 0.4073 0.7457
0.2601 0.2601 0.2507
0.4073 0.0739 0.7457
0.5927 0.9261 0.2543
0.7399 0.7399 0.7493
0.9261 0.5927 0.2543
```

Volume, Å³/cell: 378.04
ΔE_f, eV per atom: 0.18
Mass density, g cm⁻³: 7.6
Distance to the lowest polymorph of the same formula, meV/atom: 0
Total magnetic moment, μB per atom: 0.000

Entry 4:
Below is a geometry-optimized K4TcIr structure, with properties calculated at the PBE-GGA level.

```
K4TcIr
1.0
0.0000 4.4962 4.4962
4.4962 0.0000 4.4962
4.4962 4.4962 0.0000
K Tc Ir
4 1 1
direct
0.3761 0.3761 0.3761
0.3761 0.3761 0.8718
0.3761 0.8718 0.3761
0.8718 0.3761 0.3761
0.0000 0.0000 0.0000
0.7500 0.7500 0.7500
```

Volume, Å³/cell: 181.78
ΔE_f, eV per atom: 1.57
Mass density, g cm⁻³: 4.1
Total magnetic moment, μB per atom: 0.699

Entry 5:
Below is a geometry-optimized TaZnSnTe2 structure, with properties calculated at the PBE-GGA level.

```
TaZnSnTe2
1.0
5.3893 0.0000 0.0000
0.0000 5.3893 0.0000
0.0000 0.0000 5.5251
Ta Zn Sn Te
1 1 1 2
direct
0.0000 0.0000 0.0000
0.5000 0.5000 0.5000
0.0000 0.0000 0.5000
0.0000 0.5000 0.0000
0.5000 0.0000 0.0000
```

Volume, Å³/cell: 160.47
Mass density, g cm⁻³: 6.4
E_form (uncorrected), eV/atom: 0.31
Total magnetic moment, μB per atom: 0.000

Entry 6:
Below is a geometry-optimized CaCdSnBi structure, with properties calculated at the PBE-GGA level.

```
CaCdSnBi
1.0
4.5946 0.0000 0.0000
0.0000 4.6894 0.0000
0.0000 0.0000 5.1648
Ca Cd Sn Bi
1 1 1 1
direct
0.0000 0.0000 0.0000
0.0000 0.5000 0.5000
0.5000 0.0000 0.5000
0.5000 0.5000 0.0000
```

Volume, Å³/cell: 111.28
ΔE_f, eV per atom: -0.37
Mass density, g cm⁻³: 7.2
Distance to the lowest polymorph of the same formula, meV/atom: 0
Total magnetic moment, μB per atom: 0.000

Entry 7:
Below is a geometry-optimized TiSb2TePb structure, with properties calculated at the PBE-GGA level.

```
TiSb2TePb
1.0
5.3493 0.0000 0.0000
0.0000 5.3493 0.0000
0.0000 0.0000 5.3353
Ti Sb Te Pb
1 2 1 1
direct
0.0000 0.0000 0.0000
0.0000 0.5000 0.0000
0.5000 0.0000 0.0000
0.0000 0.0000 0.5000
0.5000 0.5000 0.5000
```

Volume, Å³/cell: 152.67
Mass density, g cm⁻³: 6.8
E_form (uncorrected), eV/atom: 0.05
Distance to the lowest polymorph of the same formula, meV/atom: 0
Total magnetic moment, μB per atom: 0.000

Entry 8:
Below is a geometry-optimized ScAs2Os structure, with properties calculated at the PBE-GGA level.

```
ScAs2Os
1.0
-2.6909 2.6909 6.5564
2.6909 -2.6909 6.5564
2.6909 2.6909 -6.5564
Sc As Os
2 4 2
direct
0.0000 0.0000 0.0000
0.7500 0.2500 0.5000
0.1752 0.6250 0.0502
0.3750 0.4252 0.5502
0.5748 0.1250 0.9498
0.8750 0.8248 0.4498
0.2500 0.7500 0.5000
0.5000 0.5000 0.0000
```

Volume, Å³/cell: 189.90
ΔE_f, eV per atom: -0.05
Mass density, g cm⁻³: 6.7
Distance to the lowest polymorph of the same formula, meV/atom: 366
Total magnetic moment, μB per atom: 0.000

Entry 9:
Below is a geometry-optimized Sr2Li3TmBi4 structure, with properties calculated at the PBE-GGA level.

```
Sr2Li3TmBi4
1.0
4.9461 0.0000 0.0000
0.0000 4.9461 0.0000
0.0000 0.0000 12.0107
Sr Li Tm Bi
2 3 1 4
direct
0.0000 0.5000 0.2220
0.5000 0.0000 0.7780
0.0000 0.5000 0.8790
0.5000 0.0000 0.1210
0.5000 0.5000 0.5000
0.0000 0.0000 0.5000
0.0000 0.0000 0.0000
0.0000 0.5000 0.6486
0.5000 0.0000 0.3514
0.5000 0.5000 0.0000
```

Volume, Å³/cell: 293.83
ΔE_f, eV per atom: -0.66
Mass density, g cm⁻³: 6.8
Total magnetic moment, μB per atom: 0.000

Entry 10:
Below is a geometry-optimized NiSbW3 structure, with properties calculated at the PBE-GGA level.

```
NiSbW3
1.0
4.5405 0.0000 0.0000
0.0000 4.5405 0.0000
0.0000 0.0000 4.5405
Ni Sb W
1 1 3
direct
0.0000 0.0000 0.0000
0.5000 0.5000 0.5000
0.0000 0.0000 0.5000
0.0000 0.5000 0.0000
0.5000 0.0000 0.0000
```

Volume, Å³/cell: 93.61
Mass density, g cm⁻³: 13.0
E_form (uncorrected), eV/atom: 1.50
Distance to the lowest polymorph of the same formula, meV/atom: 0
Total magnetic moment, μB per atom: 0.000

Entry 11:
Below is a geometry-optimized Sc7SnPd4 structure, with properties calculated at the PBE-GGA level.

```
Sc7SnPd4
1.0
6.4924 -2.6549 0.0000
6.4924 2.6549 0.0000
-5.1695 0.0000 7.3757
Sc Sn Pd
7 1 4
direct
0.0000 0.0000 0.0000
0.2045 0.2045 0.6518
0.2871 0.2871 0.1141
0.4355 0.4355 0.6214
0.5645 0.5645 0.3786
0.7129 0.7129 0.8859
0.7955 0.7955 0.3482
0.5000 0.5000 0.0000
0.0613 0.0613 0.7599
0.2040 0.2040 0.3465
0.7960 0.7960 0.6535
0.9387 0.9387 0.2401
```

Volume, Å³/cell: 254.26
ΔE_f, eV per atom: -0.48
Mass density, g cm⁻³: 5.6
Total magnetic moment, μB per atom: 0.000

Entry 12:
Below is a geometry-optimized TaAlIn2Co structure, with properties calculated at the PBE-GGA level.

```
TaAlIn2Co
1.0
5.5175 0.0000 0.0000
0.0000 5.5175 0.0000
0.0000 0.0000 4.4137
Ta Al In Co
1 1 2 1
direct
0.0000 0.0000 0.0000
0.5000 0.5000 0.5000
0.0000 0.5000 0.0000
0.5000 0.0000 0.0000
0.0000 0.0000 0.5000
```

Volume, Å³/cell: 134.37
ΔE_f, eV per atom: 1.09
Mass density, g cm⁻³: 6.1
Total magnetic moment, μB per atom: 0.128

Entry 13:
Below is a geometry-optimized TcRuCl2 structure, with properties calculated at the PBE-GGA level.

```
TcRuCl2
1.0
0.0000 3.1785 3.1785
3.1785 0.0000 3.1785
3.1785 3.1785 0.0000
Tc Ru Cl
1 1 2
direct
0.0000 0.0000 0.0000
0.2500 0.2500 0.2500
0.5000 0.5000 0.5000
0.7500 0.7500 0.7500
```

Volume, Å³/cell: 64.22
Mass density, g cm⁻³: 7.0
E_form (uncorrected), eV/atom: 0.93
Distance to the lowest polymorph of the same formula, meV/atom: 991
Total magnetic moment, μB per atom: 0.406

Entry 14:
Below is a geometry-optimized Li3BiN2 structure, with properties calculated at the PBE-GGA level.

```
Li3BiN2
1.0
-3.5343 3.5343 9.2994
3.5343 -3.5343 9.2994
3.5343 3.5343 -9.2994
Li Bi N
12 4 8
direct
0.1668 0.4168 0.3336
0.1668 0.8332 0.7500
0.2736 0.5236 0.7500
0.4168 0.1668 0.8336
0.4168 0.5832 0.2500
0.4764 0.7264 0.7500
0.5236 0.2736 0.2500
0.5832 0.4168 0.7500
0.5832 0.8332 0.1664
0.7264 0.4764 0.2500
0.8332 0.1668 0.2500
0.8332 0.5832 0.6664
0.0047 0.7547 0.2500
0.2453 0.9953 0.2500
0.7547 0.0047 0.7500
0.9953 0.2453 0.7500
0.1793 0.6891 0.4902
0.3012 0.3109 0.9902
0.3109 0.3012 0.4902
0.3109 0.8207 0.0098
0.6891 0.1793 0.9902
0.6891 0.6988 0.5098
0.6988 0.6891 0.0098
0.8207 0.3109 0.5098
```

Volume, Å³/cell: 464.64
Mass density, g cm⁻³: 3.7
E_form (uncorrected), eV/atom: 0.07
Total magnetic moment, μB per atom: 0.000

Entry 15:
Below is a geometry-optimized LiTaGeRuI structure, with properties calculated at the PBE-GGA level.

```
LiTaGeRuI
1.0
3.4119 0.0000 0.0000
0.0000 3.4119 0.0000
0.0000 0.0000 8.8102
Li Ta Ge Ru I
1 1 1 1 1
direct
0.0000 0.0000 0.0000
0.0000 0.0000 0.3836
0.5000 0.5000 0.2118
0.5000 0.5000 0.5108
0.5000 0.5000 0.8177
```

Volume, Å³/cell: 102.56
Mass density, g cm⁻³: 7.9
E_form (uncorrected), eV/atom: -0.12
Distance to the lowest polymorph of the same formula, meV/atom: 92
Total magnetic moment, μB per atom: 0.000

Entry 16:
Below is a geometry-optimized Pm2NpGe3Ir4 structure, with properties calculated at the PBE-GGA level.

```
Pm2NpGe3Ir4
1.0
4.2361 0.0000 0.0000
0.0000 4.2361 0.0000
0.0000 0.0000 11.0008
Pm Np Ge Ir
2 1 3 4
direct
0.0000 0.5000 0.2291
0.5000 0.0000 0.7709
0.0000 0.0000 0.5000
0.0000 0.5000 0.8762
0.5000 0.0000 0.1238
0.5000 0.5000 0.5000
0.0000 0.0000 0.0000
0.0000 0.5000 0.6513
0.5000 0.0000 0.3487
0.5000 0.5000 0.0000
```

Volume, Å³/cell: 197.41
ΔE_f, eV per atom: -0.68
Mass density, g cm⁻³: 12.7
Total magnetic moment, μB per atom: 0.350

Entry 17:
Below is a geometry-optimized Mg6CuPt5 structure, with properties calculated at the PBE-GGA level.

```
Mg6CuPt5
1.0
4.6614 0.0000 0.0000
0.0000 5.9475 0.0000
-1.0647 0.0000 6.8726
Mg Cu Pt
6 1 5
direct
0.0000 0.2477 0.0000
0.0000 0.7523 0.0000
0.3212 0.2489 0.6619
0.3212 0.7511 0.6619
0.6788 0.2489 0.3381
0.6788 0.7511 0.3381
0.5000 0.5000 0.0000
0.1750 0.0000 0.3296
0.1783 0.5000 0.3233
0.5000 0.0000 0.0000
0.8217 0.5000 0.6767
0.8250 0.0000 0.6704
```

Volume, Å³/cell: 190.54
ΔE_f, eV per atom: -0.76
Mass density, g cm⁻³: 10.3
Total magnetic moment, μB per atom: 0.000

Entry 18:
Below is a geometry-optimized Sm12DyY7 structure, with properties calculated at the PBE-GGA level.

```
Sm12DyY7
1.0
6.0461 3.4907 5.4100
-6.0461 3.4907 5.4100
0.0000 -6.9815 5.4100
Sm Dy Y
12 1 7
direct
0.1008 0.4211 0.3478
0.2274 0.3507 0.7532
0.2468 0.7726 0.6493
0.3478 0.1008 0.4211
0.3507 0.7532 0.2274
0.4211 0.3478 0.1008
0.5789 0.6522 0.8992
0.6493 0.2468 0.7726
0.6522 0.8992 0.5789
0.7532 0.2274 0.3507
0.7726 0.6493 0.2468
0.8992 0.5789 0.6522
0.0000 0.0000 0.0000
0.0046 0.8854 0.3607
0.1145 0.6393 0.9954
0.3607 0.0046 0.8855
0.5000 0.5000 0.5000
0.6393 0.9954 0.1145
0.8855 0.3607 0.0046
0.9954 0.1145 0.6393
```

Volume, Å³/cell: 685.08
ΔE_f, eV per atom: 0.24
Mass density, g cm⁻³: 6.3
Distance to the lowest polymorph of the same formula, meV/atom: 0
Total magnetic moment, μB per atom: 0.000

Entry 19:
Below is a geometry-optimized Ba4GaPt3 structure, with properties calculated at the PBE-GGA level.

```
Ba4GaPt3
1.0
4.5772 0.0000 0.0000
0.0000 4.6524 0.0000
0.0000 0.0000 12.0904
Ba Ga Pt
4 1 3
direct
0.0000 0.0000 0.0000
0.0000 0.5000 0.2621
0.5000 0.0000 0.4752
0.5000 0.5000 0.7769
0.0000 0.0000 0.6758
0.0000 0.5000 0.5842
0.5000 0.0000 0.2034
0.5000 0.5000 0.0568
```

Volume, Å³/cell: 257.46
ΔE_f, eV per atom: -0.66
Mass density, g cm⁻³: 7.8
Total magnetic moment, μB per atom: 0.000

Entry 20:
Below is a geometry-optimized ZrVCuIr2 structure, with properties calculated at the PBE-GGA level.

```
ZrVCuIr2
1.0
4.5440 0.0000 0.0000
0.0000 4.5440 0.0000
0.0000 0.0000 4.5468
Zr V Cu Ir
1 1 1 2
direct
0.0000 0.0000 0.0000
0.5000 0.5000 0.0000
0.0000 0.0000 0.5000
0.0000 0.5000 0.5000
0.5000 0.0000 0.5000
```

Volume, Å³/cell: 93.88
ΔE_f, eV per atom: 0.95
Mass density, g cm⁻³: 10.4
Total magnetic moment, μB per atom: 0.628

Entry 21:
Below is a geometry-optimized ZnSi2Se structure, with properties calculated at the PBE-GGA level.

```
ZnSi2Se
1.0
-1.8127 1.8348 5.4748
1.8127 -1.8348 5.4748
1.8127 1.8348 -5.4748
Zn Si Se
1 2 1
direct
0.0000 0.0000 0.0000
0.5570 0.5570 0.0000
0.7035 0.2035 0.5000
0.3238 0.8238 0.5000
```

Volume, Å³/cell: 72.84
Mass density, g cm⁻³: 4.6
E_form (uncorrected), eV/atom: 0.32
Distance to the lowest polymorph of the same formula, meV/atom: 304
Total magnetic moment, μB per atom: 0.000

Entry 22:
Below is a geometry-optimized Rb4LiF5 structure, with properties calculated at the PBE-GGA level.

```
Rb4LiF5
1.0
-4.2644 4.2644 2.8487
4.2644 -4.2644 2.8487
4.2644 4.2644 -2.8487
Rb Li F
4 1 5
direct
0.0991 0.7052 0.8044
0.2948 0.0991 0.3939
0.7052 0.9009 0.6061
0.9009 0.2948 0.1956
0.4384 0.4384 0.0000
0.1076 0.1076 0.0000
0.2487 0.4234 0.6605
0.4234 0.7630 0.1747
0.5883 0.2487 0.8253
0.7630 0.5883 0.3395
```

Volume, Å³/cell: 207.22
Mass density, g cm⁻³: 3.6
E_form (uncorrected), eV/atom: -2.64
Total magnetic moment, μB per atom: 0.031

Entry 23:
Below is a geometry-optimized Y2HgPt structure, with properties calculated at the PBE-GGA level.

```
Y2HgPt
1.0
-1.9197 1.9266 7.7425
1.9197 -1.9266 7.7425
1.9197 1.9266 -7.7425
Y Hg Pt
2 1 1
direct
0.1731 0.1731 0.0000
0.8269 0.8269 0.0000
0.5000 0.5000 0.0000
0.0000 0.0000 0.0000
```

Volume, Å³/cell: 114.54
ΔE_f, eV per atom: -0.17
Mass density, g cm⁻³: 8.3
Total magnetic moment, μB per atom: 0.000

Entry 24:
Below is a geometry-optimized Li2CdH6Ru structure, with properties calculated at the PBE-GGA level.

```
Li2CdH6Ru
1.0
4.8507 0.0000 0.0000
-1.1943 4.7908 0.0000
-1.2099 -2.4931 4.1164
Li Cd H Ru
2 1 6 1
direct
0.0000 0.0000 0.0000
0.4017 0.6102 0.0996
0.6164 0.3295 0.5929
0.0895 0.6031 0.7425
0.1114 0.7735 0.3518
0.2799 0.4367 0.3569
0.3077 0.1430 0.8597
0.6263 0.9581 0.0591
0.6913 0.9346 0.5929
0.3772 0.8103 0.6702
```

Volume, Å³/cell: 95.66
Mass density, g cm⁻³: 4.1
Electronic total energy, eV/atom: -3.6114
Total magnetic moment, μB per atom: 0.000